Entry 1:
Rb3Zr3FeS8 after structural relaxation, computed with PBE.

Computed properties:
The value obtained for the electronic total energy is -5.93 eV per atom.

Cell lengths 7.349, 7.349, 8.976 Å; angles 114.23, 114.23, 59.92 degrees
Sites, in units of the cell vectors:
Rb1 0.000 0.000 0.000
Rb2 0.000 0.500 0.000
Rb3 0.500 0.000 0.000
Zr1 0.000 0.500 0.500
Zr2 0.500 0.000 0.500
Zr3 0.500 0.500 0.500
Fe1 0.000 0.000 0.500
S1 0.215 0.215 0.677
S2 0.215 0.746 0.677
S3 0.254 0.785 0.323
S4 0.270 0.270 0.309
S5 0.730 0.730 0.691
S6 0.746 0.215 0.677
S7 0.785 0.254 0.323
S8 0.785 0.785 0.323

---

Entry 2:
RbFeSb2 after structural relaxation, computed with PBE.

Computed properties:
The energy above the lowest structure with this stoichiometry comes out at 694 meV/atom. The value obtained for the electronic total energy is -3.63 eV per atom.

Cell lengths 5.123, 5.123, 5.123 Å; angles 60.00, 60.00, 60.00 degrees
Sites, in units of the cell vectors:
Rb1 0.000 0.000 0.000
Fe1 0.500 0.500 0.500
Sb1 0.250 0.250 0.250
Sb2 0.750 0.750 0.750

---

So what do the calculations give for formation energy (no corrections)? Going down the list: -1.2603; 0.7857 eV/atom.